Entry 1:
Compound: AcY6Er3Tm2
Source: Alexandria
Functional: PBE
Structure: optimized geometry

Structure (extended XYZ):
```
12
Lattice="-1.403 0.758 5.983 3.326 -4.903 -1.799 9.195 7.487 0.142" Properties=species:S:1:pos:R:3 pbc="T T T"
Ac 0.000 0.000 0.000
Y 7.495 3.443 4.536
Y 3.782 -1.198 3.170
Y 3.623 -0.100 -0.211
Y 9.086 1.538 1.918
Y 7.336 4.540 1.156
Y 2.032 1.804 2.408
Er 7.133 -0.213 -0.428
Er 3.985 3.556 4.753
Er 5.559 1.671 2.163
Tm 1.750 -3.016 0.795
Tm 0.173 -1.129 3.388
```

Summary:
energy of formation from the pure elements	0.04	eV/atom
crystal system	monoclinic

Entry 2:
Compound: Sr2Zn2Pd
Source: Alexandria
Functional: PBE
Structure: optimized geometry

Structure (extended XYZ):
```
10
Lattice="7.253 0.000 0.000 0.000 7.253 0.000 0.000 0.000 4.892" Properties=species:S:1:pos:R:3 pbc="T T T"
Sr 1.341 4.967 2.446
Sr 4.967 5.912 2.446
Sr 5.912 2.286 2.446
Sr 2.286 1.341 2.446
Zn 2.717 6.343 0.000
Zn 6.343 4.536 0.000
Zn 4.536 0.910 0.000
Zn 0.910 2.717 0.000
Pd 0.000 0.000 0.000
Pd 3.627 3.627 0.000
```

Summary:
energy of formation from the pure elements	-0.26	eV/atom
distance to the lowest polymorph of the same formula	164.5	meV/atom
crystal system	tetragonal

Entry 3:
Compound: YSc2Ta
Source: Alexandria
Functional: PBE
Structure: optimized geometry

Structure (extended XYZ):
```
4
Lattice="-0.114 2.045 -2.367 -1.283 -2.194 -1.827 -8.951 2.836 2.882" Properties=species:S:1:pos:R:3 pbc="T T T"
Sc -0.098 0.031 0.031
Sc -3.158 0.705 -1.305
Ta -4.354 1.379 1.402
Y -7.213 1.989 0.001
```

Summary:
energy of formation from the pure elements	0.22	eV/atom
distance to the lowest polymorph of the same formula	66.4	meV/atom
crystal system	orthorhombic

Entry 4:
Compound: HoZr3Bi2
Source: Alexandria
Functional: PBE
Structure: optimized geometry

Structure (extended XYZ):
```
12
Lattice="-3.989 0.611 0.340 0.842 -2.434 -9.857 -0.385 -6.299 6.802" Properties=species:S:1:pos:R:3 pbc="T T T"
Ho -3.230 -6.983 -1.223
Ho -0.302 -1.138 -1.492
Zr -0.919 -4.611 -2.493
Zr -3.215 -4.953 -4.697
Zr -2.605 -5.233 2.966
Zr -0.927 -2.889 -5.680
Zr -0.316 -3.169 1.983
Zr -2.612 -3.510 -0.221
Bi -1.436 -7.186 -3.931
Bi -2.095 -0.935 1.217
Bi -2.663 -2.153 -3.246
Bi -0.869 -5.968 0.532
```

Summary:
energy of formation from the pure elements	-0.30	eV/atom
crystal system	monoclinic

Entry 5:
Compound: NaZnAsSe2
Source: Alexandria
Functional: PBE
Structure: optimized geometry

Structure (extended XYZ):
```
5
Lattice="-1.663 -4.829 -0.759 2.142 -1.440 4.472 -4.031 1.033 2.263" Properties=species:S:1:pos:R:3 pbc="T T T"
Na -1.776 -2.618 2.988
As -2.016 0.516 1.132
Zn 0.000 0.000 0.000
Se 1.071 -0.720 2.236
Se -0.831 -2.414 -0.379
```

Summary:
energy relative to the elements, uncorrected	0.07	eV/atom
distance to the lowest polymorph of the same formula	0.0	meV/atom
crystal system	tetragonal

Entry 6:
Compound: Cs2Na4GaPb2
Source: Alexandria
Functional: PBE
Structure: optimized geometry

Structure (extended XYZ):
```
9
Lattice="-2.984 -1.524 -4.728 3.647 -7.449 -2.229 -3.529 -7.481 2.311" Properties=species:S:1:pos:R:3 pbc="T T T"
Cs -0.880 -9.920 -1.460
Cs -1.986 -6.534 -3.186
Na 1.698 -5.816 -2.192
Na -0.195 -10.619 -5.218
Na -4.564 -10.638 -2.454
Na -2.671 -5.835 0.573
Ga -1.492 -0.762 -2.364
Pb -0.812 -3.157 -1.306
Pb -2.054 -13.298 -3.340
```

Summary:
energy of formation from the pure elements	-0.05	eV/atom
crystal system	monoclinic

Entry 7:
Compound: K3Rb4Na5
Source: Alexandria
Functional: PBE
Structure: optimized geometry

Structure (extended XYZ):
```
12
Lattice="7.463 0.000 0.000 3.731 9.205 -2.519 3.731 -0.377 11.223" Properties=species:S:1:pos:R:3 pbc="T T T"
K 7.463 6.480 0.534
K 3.731 4.414 4.352
K 7.463 2.348 8.170
Rb 7.463 2.227 0.277
Rb 3.731 -0.224 6.970
Rb 11.194 9.053 1.734
Rb 7.463 6.601 8.427
Na 11.194 7.857 7.029
Na 7.463 4.414 4.352
Na 3.731 4.516 0.509
Na 11.194 4.312 8.195
Na 3.731 0.971 1.675
```

Summary:
energy of formation from the pure elements	0.06	eV/atom
crystal system	monoclinic

Entry 8:
Compound: HgPd3F
Source: Alexandria
Functional: PBE
Structure: optimized geometry

Structure (extended XYZ):
```
5
Lattice="-4.339 2.675 0.660 -2.698 -3.876 -2.030 -0.559 -2.060 4.676" Properties=species:S:1:pos:R:3 pbc="T T T"
Hg 0.000 0.000 0.000
Pd -1.349 -1.938 -1.015
Pd -0.279 -1.030 2.338
Pd -2.170 1.338 0.330
F -3.798 -1.631 1.653
```

Summary:
energy relative to the elements, uncorrected	0.86	eV/atom
distance to the lowest polymorph of the same formula	755.1	meV/atom
crystal system	cubic

no.,total magnetization (μB per formula unit),VASP energy (eV per atom)
1,0.00,-5.42
2,0.00,-2.48
3,0.00,-7.52
4,0.00,-6.63
5,0.00,-2.78
6,0.88,-1.99
7,0.00,-1.09
8,1.00,-2.69